{
  "formula": "CaZnIO2",
  "functional": "SCAN",
  "state": "PBEsol geometry",
  "cell": [[4.247, 0.000, 0.000], [0.000, 4.247, 0.000], [0.000, 0.000, 6.349]],
  "species": ["I", "Zn", "Ca", "O", "O"],
  "fractional_positions": [[0.000, 0.000, 0.500], [0.500, 0.500, 0.500], [0.000, 0.000, 0.000], [0.000, 0.500, 0.000], [0.500, 0.000, 0.000]],
  "sg": "P4/mmm, No. 123",
  "e_tot_ev_per_cell": -75.4,
  "formation_energy_uncorrected_ev_per_atom": -0.602
}

=====

{
  "formula": "TlCdSi",
  "functional": "SCAN",
  "state": "PBEsol geometry",
  "cell": [[4.691, 0.000, 0.000], [2.345, 4.062, 0.000], [2.345, 1.354, 3.830]],
  "species": ["Cd", "Si", "Tl"],
  "fractional_positions": [[0.750, 0.750, 0.750], [0.000, 0.000, 0.000], [0.500, 0.500, 0.500]],
  "sg": "F-43m, No. 216",
  "e_tot_ev_per_cell": -111.2,
  "formation_energy_uncorrected_ev_per_atom": 0.543,
  "e_above_lowest_polymorph_ev_per_atom": 0.000
}

=====

{
  "formula": "CsAlPb3",
  "functional": "SCAN",
  "state": "PBEsol geometry",
  "cell": [[5.600, 0.000, 0.000], [0.000, 5.600, 0.000], [0.000, 0.000, 5.600]],
  "species": ["Pb", "Pb", "Pb", "Cs", "Al"],
  "fractional_positions": [[0.000, 0.500, 0.000], [0.000, 0.000, 0.500], [0.500, 0.000, 0.000], [0.500, 0.500, 0.500], [0.000, 0.000, 0.000]],
  "e_form_ev_per_atom": 0.052,
  "sg": "Pm-3m, No. 221",
  "e_tot_ev_per_cell": -272.6
}

=====

{
  "formula": "CsDyS2",
  "functional": "SCAN",
  "state": "PBEsol geometry",
  "cell": [[4.029, 0.000, 0.000], [2.014, 3.489, 0.000], [2.014, 1.163, 7.937]],
  "species": ["Cs", "S", "S", "Dy"],
  "fractional_positions": [[0.000, 0.000, 0.000], [0.228, 0.228, 0.316], [0.772, 0.772, 0.684], [0.500, 0.500, 0.500]],
  "sg": "R-3m, No. 166",
  "e_tot_ev_per_cell": -113.3,
  "formation_energy_uncorrected_ev_per_atom": -2.105
}

=====

{
  "formula": "CrCdNO2",
  "functional": "SCAN",
  "state": "PBEsol geometry",
  "cell": [[-0.013, 3.585, 1.973], [1.367, -1.846, 3.363], [3.836, 0.670, -1.192]],
  "species": ["Cr", "N", "O", "O", "Cd"],
  "fractional_positions": [[0.500, 0.500, 0.500], [0.500, 0.000, 0.000], [0.000, 0.000, 0.500], [0.000, 0.500, 0.000], [0.000, 0.000, 0.000]],
  "sg": "P4/mmm, No. 123",
  "e_tot_ev_per_cell": -67.1,
  "formation_energy_uncorrected_ev_per_atom": 0.684
}

=====

{
  "formula": "BaCr2Cu",
  "functional": "SCAN",
  "state": "PBEsol geometry",
  "cell": [[3.066, 0.000, 0.000], [-1.533, 4.499, 0.024], [0.000, -1.047, 5.677]],
  "species": ["Ba", "Cr", "Cr", "Cu"],
  "fractional_positions": [[0.500, 0.000, 0.000], [0.718, 0.436, 0.604], [0.282, 0.564, 0.396], [0.000, 0.000, 0.500]],
  "e_form_ev_per_atom": 0.851,
  "sg": "C2/m, No. 12",
  "e_tot_ev_per_cell": -88.1,
  "e_above_lowest_polymorph_ev_per_atom": 0.051
}